(1)
Density functional theory data (GGA+U) for a relaxed structure of YFeCF2.

CIF file:
```
data_YFeCF2
_chemical_formula_sum 'Y1 Fe1 C1 F2'
_symmetry_space_group_name_H-M 'P 1'
_symmetry_Int_Tables_number 1
_cell_length_a 3.7167
_cell_length_b 3.7167
_cell_length_c 7.7988
_cell_angle_alpha 90.00
_cell_angle_beta 90.00
_cell_angle_gamma 90.00
loop_
_symmetry_equiv_pos_as_xyz
'x,y,z'
loop_
_atom_site_label
_atom_site_type_symbol
_atom_site_fract_x
_atom_site_fract_y
_atom_site_fract_z
Y1 Y 0.0000 0.0000 0.0000
Fe1 Fe 0.0000 0.0000 0.5000
C1 C 0.5000 0.5000 0.0000
F1 F 0.0000 0.5000 0.5000
F2 F 0.5000 0.0000 0.5000
```

## Properties
SG   P4/mmm, No. 123

---

(2)
Density functional theory data (GGA+U) for a relaxed structure of ZnFeCF2.

CIF file:
```
data_ZnFeCF2
_chemical_formula_sum 'Zn1 Fe1 C1 F2'
_symmetry_space_group_name_H-M 'P 1'
_symmetry_Int_Tables_number 1
_cell_length_a 3.6610
_cell_length_b 3.6610
_cell_length_c 7.5417
_cell_angle_alpha 90.00
_cell_angle_beta 90.00
_cell_angle_gamma 90.00
loop_
_symmetry_equiv_pos_as_xyz
'x,y,z'
loop_
_atom_site_label
_atom_site_type_symbol
_atom_site_fract_x
_atom_site_fract_y
_atom_site_fract_z
Zn1 Zn 0.0000 0.0000 0.0000
Fe1 Fe 0.0000 0.0000 0.5000
C1 C 0.5000 0.5000 0.5000
F1 F 0.0000 0.5000 0.0000
F2 F 0.5000 0.0000 0.0000
```

## Properties
SG   P4/mmm, No. 123

---

| no. | DOS(E_F) (states/eV/f.u.) | E_tot (eV/atom) |
| --- | --- | --- |
| 1 | 2.43 | -5.79 |
| 2 | 1.49 | -3.79 |